Material: TaGaPb
Method: DFT, GGA-PBE
State: relaxed

polymorph energy (0 for the lowest one): 0 meV/atom
total energy: -5.414 eV/atom

abc: 6.652 6.652 6.652
angles: 90.00 90.00 90.00
Fractional coordinates of all 12 atoms:
Ta1 0.000 0.000 0.000
Ta2 0.000 0.500 0.500
Ta3 0.500 0.000 0.500
Ta4 0.500 0.500 0.000
Ga1 0.250 0.250 0.750
Ga2 0.250 0.750 0.250
Ga3 0.750 0.250 0.250
Ga4 0.750 0.750 0.750
Pb1 0.250 0.250 0.250
Pb2 0.250 0.750 0.750
Pb3 0.750 0.250 0.750
Pb4 0.750 0.750 0.250